DFT (PBE) results for an optimized crystal structure of Li2MnCu.

Lattice parameters (Å, degrees): 3.667 3.667 8.368 90.00 90.00 90.00
Positions (direct):
1 Li 0.000 0.500 0.250
2 Li 0.000 0.500 0.750
3 Li 0.500 0.000 0.250
4 Li 0.500 0.000 0.750
5 Mn 0.000 0.000 0.000
6 Mn 0.500 0.500 0.500
7 Cu 0.000 0.000 0.500
8 Cu 0.500 0.500 0.000

Results
For the distance to the lowest polymorph of the same formula, the calculation gives 31 meV/atom. For the formation energy, the calculation gives 185 meV per atom. As for the crystal system: tetragonal. The size of the total moment is 3.8 μB per formula unit.



DFT (PBE) results for an optimized crystal structure of LiMnCu2.

Lattice parameters (Å, degrees): 3.793 3.793 7.117 90.00 90.00 90.00
Positions (direct):
1 Li 0.000 0.000 0.000
2 Li 0.500 0.500 0.500
3 Mn 0.000 0.000 0.500
4 Mn 0.500 0.500 0.000
5 Cu 0.000 0.500 0.250
6 Cu 0.000 0.500 0.750
7 Cu 0.500 0.000 0.250
8 Cu 0.500 0.000 0.750

Results
For the distance to the lowest polymorph of the same formula, the calculation gives 27 meV/atom. For the formation energy, the calculation gives 102 meV per atom. As for the crystal system: tetragonal. The size of the total moment is 3.8 μB per formula unit.



DFT (PBE) results for an optimized crystal structure of LiMnCu2.

Lattice parameters (Å, degrees): 5.576 6.819 2.692 90.00 90.00 90.00
Positions (direct):
1 Li 0.000 0.000 0.000
2 Li 0.500 0.500 0.000
3 Mn 0.000 0.500 0.000
4 Mn 0.500 0.000 0.000
5 Cu 0.250 0.250 0.500
6 Cu 0.250 0.750 0.500
7 Cu 0.750 0.250 0.500
8 Cu 0.750 0.750 0.500

Results
For the distance to the lowest polymorph of the same formula, the calculation gives 6 meV/atom. For the formation energy, the calculation gives 81 meV per atom. As for the crystal system: orthorhombic. The size of the total moment is 3.5 μB per formula unit.



DFT (PBE) results for an optimized crystal structure of LiMnCu2.

Lattice parameters (Å, degrees): 2.772 3.319 5.640 90.00 90.19 90.00
Positions (direct):
1 Li 0.000 0.000 0.000
2 Mn 0.000 0.000 0.500
3 Cu 0.499 0.500 0.250
4 Cu 0.501 0.500 0.750

Results
For the distance to the lowest polymorph of the same formula, the calculation gives 31 meV/atom. For the formation energy, the calculation gives 105 meV per atom. As for the crystal system: monoclinic. The size of the total moment is 3.7 μB per formula unit.



DFT (PBE) results for an optimized crystal structure of Li3MnCu.

Lattice parameters (Å, degrees): 4.555 4.555 4.555 90.00 90.00 90.00
Positions (direct):
1 Li 0.000 0.000 0.500
2 Li 0.000 0.500 0.000
3 Li 0.500 0.000 0.000
4 Mn 0.500 0.500 0.500
5 Cu 0.000 0.000 0.000

Results
For the distance to the lowest polymorph of the same formula, the calculation gives 0 meV/atom. For the formation energy, the calculation gives 537 meV per atom. As for the crystal system: cubic. The size of the total moment is 4.2 μB per formula unit.



DFT (PBE) results for an optimized crystal structure of LiMn2CuN.

Lattice parameters (Å, degrees): 3.745 3.745 3.933 90.00 90.00 90.00
Positions (direct):
1 Li 0.000 0.000 0.000
2 Mn 0.000 0.500 0.500
3 Mn 0.500 0.000 0.500
4 Cu 0.500 0.500 0.000
5 N 0.000 0.000 0.500

Results
The uncorrected formation energy comes out at -81 kJ/mol of formula units. As for the crystal system: tetragonal. The size of the total moment is 4.3 μB per formula unit.



DFT (PBE) results for an optimized crystal structure of Li2MnCuN.

Lattice parameters (Å, degrees): 3.915 3.915 3.633 90.00 90.00 90.00
Positions (direct):
1 Li 0.000 0.500 0.000
2 Li 0.500 0.000 0.000
3 Mn 0.000 0.000 0.500
4 Cu 0.500 0.500 0.500
5 N 0.000 0.000 0.000

Results
The uncorrected formation energy comes out at -77 kJ/mol of formula units. As for the crystal system: tetragonal. The size of the total moment is 1.6 μB per formula unit.



DFT (PBE) results for an optimized crystal structure of LiMn2NbCu.

Lattice parameters (Å, degrees): 4.652 4.652 4.736 90.00 90.00 90.00
Positions (direct):
1 Li 0.000 0.000 0.000
2 Mn 0.000 0.500 0.500
3 Mn 0.500 0.000 0.500
4 Nb 0.500 0.500 0.000
5 Cu 0.500 0.500 0.500

Results
For the formation energy, the calculation gives 1025 meV per atom. As for the crystal system: tetragonal. The size of the total moment is 6.2 μB per formula unit.